## Ac3PmGa8 (GGA-PBE)

Data for Ac3PmGa8 after structural relaxation.

abc: 5.8088 5.8088 28.6511
angles: 90.00 90.00 120.00
Space group R3m (No. 160, hexagonal axes)
Inequivalent atoms, fractional coordinates:
Ac 0.0000 0.0000 0.0000 [3 per cell]
Ac 0.0000 0.0000 0.1248 [3 per cell]
Ac 0.0000 0.0000 0.5004 [3 per cell]
Pm 0.0000 0.0000 0.6254 [3 per cell]
Ga 0.0000 0.0000 0.3119 [3 per cell]
Ga 0.0000 0.0000 0.8132 [3 per cell]
Ga 0.0004 0.5002 0.5644 [9 per cell]
Ga 0.1672 0.3344 0.3941 [9 per cell]

The calculation puts the formation energy at -476 meV per atom.